Material: Sc3Te
Method: DFT, PBE
State: optimized geometry

CIF file:
```
data_Sc3Te
_chemical_formula_sum 'Sc9 Te3'
_space_group_name_H-M_alt 'R -3 m'
_space_group_IT_number 166
_space_group_name_Hall '-R 3 2"'
_cell_length_a 9.8551
_cell_length_b 9.8551
_cell_length_c 3.3920
_cell_angle_alpha 90.00
_cell_angle_beta 90.00
_cell_angle_gamma 120.00
loop_
_atom_site_label
_atom_site_type_symbol
_atom_site_fract_x
_atom_site_fract_y
_atom_site_fract_z
Sc1 Sc 0.0000 0.5000 0.0000
Te1 Te 0.0000 0.0000 0.0000
```

Calculated values
The density of states at the Fermi level is 5.071 states/eV/f.u. The calculation puts the total magnetization at 0.4 μB per formula unit. Its crystal system is trigonal. For the relative energy among the computed polymorphs, the calculation gives 290 meV/atom. The raw formation energy is -0.312 eV/atom.

Material: KZr2PdRu
Method: DFT, PBE
State: optimized geometry

CIF file:
```
data_KZr2PdRu
_chemical_formula_sum 'K1 Zr2 Pd1 Ru1'
_space_group_name_H-M_alt 'P 4/m m m'
_space_group_IT_number 123
_space_group_name_Hall '-P 4 2'
_cell_length_a 4.816
_cell_length_b 4.816
_cell_length_c 4.585
_cell_angle_alpha 90.00
_cell_angle_beta 90.00
_cell_angle_gamma 90.00
loop_
_atom_site_label
_atom_site_type_symbol
_atom_site_fract_x
_atom_site_fract_y
_atom_site_fract_z
K1 K 0.000 0.000 0.000
Zr1 Zr 0.000 0.500 0.000
Pd1 Pd 0.000 0.000 0.500
Ru1 Ru 0.500 0.500 0.500
```

Calculated values
The density of states at the Fermi level is 4.940 states/eV/f.u. The calculation puts the total magnetization at 0.0 μB per formula unit. Its crystal system is tetragonal. The value obtained for the energy relative to the elements is 2.0148 eV per atom.

Material: Y3GePt8
Method: DFT, PBE
State: optimized geometry

CIF file:
```
data_Y3GePt8
_chemical_formula_sum 'Y9 Ge3 Pt24'
_space_group_name_H-M_alt 'R 3 m'
_space_group_IT_number 160
_space_group_name_Hall 'R 3 -2"'
_cell_length_a 5.4412
_cell_length_b 5.4412
_cell_length_c 26.7780
_cell_angle_alpha 90.00
_cell_angle_beta 90.00
_cell_angle_gamma 120.00
loop_
_atom_site_label
_atom_site_type_symbol
_atom_site_fract_x
_atom_site_fract_y
_atom_site_fract_z
Y1 Y 0.0000 0.0000 0.0000
Y2 Y 0.0000 0.0000 0.1325
Y3 Y 0.0000 0.0000 0.6075
Ge1 Ge 0.0000 0.0000 0.4654
Pt1 Pt 0.0000 0.0000 0.3093
Pt2 Pt 0.0000 0.0000 0.8115
Pt3 Pt 0.0037 0.5019 0.5616
Pt4 Pt 0.1704 0.3408 0.3907
```

Calculated values
The density of states at the Fermi level is 8.511 states/eV/f.u. The calculation puts the total magnetization at 0.0 μB per formula unit. Its crystal system is trigonal. The value obtained for the energy relative to the elements is -0.9354 eV per atom.

Material: Dy2RuI
Method: DFT, PBE
State: optimized geometry

CIF file:
```
data_Dy2RuI
_chemical_formula_sum 'Dy6 Ru3 I3'
_space_group_name_H-M_alt 'R -3 m'
_space_group_IT_number 166
_space_group_name_Hall '-R 3 2"'
_cell_length_a 4.0477
_cell_length_b 4.0477
_cell_length_c 23.7655
_cell_angle_alpha 90.00
_cell_angle_beta 90.00
_cell_angle_gamma 120.00
loop_
_atom_site_label
_atom_site_type_symbol
_atom_site_fract_x
_atom_site_fract_y
_atom_site_fract_z
Dy1 Dy 0.0000 0.0000 0.2274
Ru1 Ru 0.0000 0.0000 0.5000
I1 I 0.0000 0.0000 0.0000
```

Calculated values
The density of states at the Fermi level is 2.220 states/eV/f.u. The calculation puts the total magnetization at 0.0 μB per formula unit. Its crystal system is trigonal. For the relative energy among the computed polymorphs, the calculation gives 0 meV/atom. The raw formation energy is -0.612 eV/atom.

Material: SrCdPt2
Method: DFT, PBE
State: optimized geometry

CIF file:
```
data_SrCdPt2
_chemical_formula_sum 'Sr4 Cd4 Pt8'
_space_group_name_H-M_alt 'I -4 2 d'
_space_group_IT_number 122
_space_group_name_Hall 'I -4 2bw'
_cell_length_a 4.944
_cell_length_b 4.944
_cell_length_c 18.550
_cell_angle_alpha 90.00
_cell_angle_beta 90.00
_cell_angle_gamma 90.00
loop_
_atom_site_label
_atom_site_type_symbol
_atom_site_fract_x
_atom_site_fract_y
_atom_site_fract_z
Sr1 Sr 0.000 0.000 0.000
Cd1 Cd 0.000 0.000 0.500
Pt1 Pt 0.068 0.250 0.625
```

Calculated values
The density of states at the Fermi level is 1.546 states/eV/f.u. The calculation puts the total magnetization at 0.0 μB per formula unit. Its crystal system is tetragonal. The value obtained for the energy relative to the elements is -0.3222 eV per atom.

Material: Pm4Ge3Ir
Method: DFT, PBE
State: optimized geometry

CIF file:
```
data_Pm4Ge3Ir
_chemical_formula_sum 'Pm4 Ge3 Ir1'
_space_group_name_H-M_alt 'P m m 2'
_space_group_IT_number 25
_space_group_name_Hall 'P 2 -2'
_cell_length_a 4.107
_cell_length_b 4.330
_cell_length_c 11.009
_cell_angle_alpha 90.00
_cell_angle_beta 90.00
_cell_angle_gamma 90.00
loop_
_atom_site_label
_atom_site_type_symbol
_atom_site_fract_x
_atom_site_fract_y
_atom_site_fract_z
Pm1 Pm 0.000 0.000 0.000
Pm2 Pm 0.000 0.500 0.485
Pm3 Pm 0.500 0.000 0.710
Pm4 Pm 0.500 0.500 0.217
Ge1 Ge 0.000 0.500 0.770
Ge2 Ge 0.500 0.000 0.428
Ge3 Ge 0.500 0.500 0.928
Ir1 Ir 0.000 0.000 0.276
```

Calculated values
The density of states at the Fermi level is 7.231 states/eV/f.u. The calculation puts the total magnetization at 0.0 μB per formula unit. Its crystal system is orthorhombic. The value obtained for the energy relative to the elements is -0.8023 eV per atom.